Here is an optimized crystal structure of LiMn3O4F2 from Alexandria via LeMat-Bulk. Energies are from GGA+U.

Lattice parameters (Å, degrees): 5.1920 5.6355 5.5263 110.90 104.23 115.11
With the nearest neighbours (Å) after each atom.
Atoms (fractional coordinates):
1 F 0.7874 0.9415 0.1324  1 Li 1.98, 2 Mn 2.00-2.21
2 F 0.8434 0.4687 0.1906  1 Mn 1.96
3 O 0.2452 0.9078 0.7763  3 Mn 1.94-1.98
4 O 0.4412 0.1513 0.4708  2 Mn 1.88-1.90
5 O 0.0454 0.3752 0.7902  3 Mn 1.95-2.15, 1 Li 1.97
6 O 0.6626 0.7649 0.5234  3 Mn 1.94-2.01, 1 Li 2.08
7 Mn 0.6904 0.0969 0.8271  3 O 1.94-1.98, 1 F 1.96
8 Mn 0.0614 0.0096 0.5075  3 O 1.88-1.99, 1 F 2.00
9 Mn 0.8324 0.5281 0.6122  4 O 1.90-2.01
10 Li 0.3906 0.7560 0.1696  3 O 1.97-2.11, 1 F 1.98

Properties
offset from the most stable computed form = 0.42 kcal/mol of atoms
calculated volume = 121 Å³/cell
space-group type = P1